Below is Cd2AgF8 after structural relaxation, with properties calculated at the PBE-GGA level.

## Properties
For the uncorrected formation energy, the calculation gives -1.52 eV per atom.

Cell: 6.283 6.283 4.552 Å, 91.70 91.70 71.40°
Sites, in units of the cell vectors:
1 Cd 0.130 0.130 0.267
2 Cd 0.870 0.870 0.733
3 Ag 0.500 0.500 0.500
4 F 0.091 0.091 0.763
5 F 0.206 0.589 0.700
6 F 0.338 0.338 0.196
7 F 0.411 0.794 0.300
8 F 0.589 0.206 0.700
9 F 0.662 0.662 0.804
10 F 0.794 0.411 0.300
11 F 0.909 0.909 0.237